(1)
Here is a relaxed structure of Cs2CdHg8 from the Alexandria database. Energies are from PBE.

Calculated values
The value obtained for the formation enthalpy at 0 K is -1.5 eV per formula unit. The calculation puts the size of the total moment at 0.0 μB/f.u. The offset from the most stable computed form is 18 meV per atom. Its density is 7.98 g/cm3. Its space-group type is No. 123.

Geometry as POSCAR:
```
Cs2CdHg8
1.0
5.101 0.000 0.000
0.000 5.101 0.000
0.000 0.000 15.858
Cs Cd Hg
2 1 8
Direct
0.000 0.000 0.206 Cs
0.000 0.000 0.794 Cs
0.000 0.000 0.500 Cd
0.000 0.500 0.000 Hg
0.000 0.500 0.389 Hg
0.000 0.500 0.611 Hg
0.500 0.000 0.000 Hg
0.500 0.000 0.389 Hg
0.500 0.000 0.611 Hg
0.500 0.500 0.130 Hg
0.500 0.500 0.870 Hg
```


(2)
Here is a relaxed structure of CsCd3Hg from the Alexandria database. Energies are from PBE.

Calculated values
The value obtained for the formation enthalpy at 0 K is -0.5 eV per formula unit. The calculation puts the size of the total moment at 0.0 μB/f.u. The offset from the most stable computed form is 0 meV per atom. Its density is 6.69 g/cm3. Its space-group type is No. 107.

Geometry as POSCAR:
```
CsCd3Hg
1.0
-2.668 2.668 5.843
2.668 -2.668 5.843
2.668 2.668 -5.843
Cs Cd Hg
1 3 1
Direct
0.000 0.000 0.000 Cs
0.250 0.750 0.500 Cd
0.635 0.635 0.000 Cd
0.750 0.250 0.500 Cd
0.378 0.378 0.000 Hg
```


(3)
Here is a relaxed structure of CsCd2Hg2 from the Alexandria database. Energies are from PBE.

Calculated values
The value obtained for the formation enthalpy at 0 K is -0.7 eV per formula unit. The calculation puts the size of the total moment at 0.0 μB/f.u. The offset from the most stable computed form is 0 meV per atom. Its density is 7.41 g/cm3. Its space-group type is No. 139.

Geometry as POSCAR:
```
CsCd2Hg2
1.0
-2.447 2.447 7.105
2.447 -2.447 7.105
2.447 2.447 -7.105
Cs Cd Hg
1 2 2
Direct
0.000 0.000 0.000 Cs
0.250 0.750 0.500 Cd
0.750 0.250 0.500 Cd
0.379 0.379 0.000 Hg
0.621 0.621 0.000 Hg
```


- Which formula does entry 1 have?
  Cs2CdHg8